VASP calculation (PBE-GGA) on a geometry-optimized HfTi4Cd2 structure.

abc: 4.381 20.690 2.980
angles: 90.00 90.00 90.00
Space group Cmmm (No. 65)
Unique sites:
Hf1 0.000 0.000 0.000 [2 per cell]
Ti1 0.000 0.141 0.000 [4 per cell]
Ti2 0.000 0.431 0.500 [4 per cell]
Cd1 0.000 0.291 0.500 [4 per cell]

- Final energy: -0.2250 hartree per atom
- Density: 7312 kg/m3
- D(E_F): 9.22 states/eV/f.u.
- E_form: 0.072 eV per atom


VASP calculation (PBE-GGA) on a geometry-optimized Hf2TiCd structure.

abc: 3.029 3.029 9.000
angles: 90.00 90.00 90.00
Space group P4/mmm (No. 123)
Unique sites:
Hf1 0.000 0.000 0.231 [2 per cell]
Ti1 0.500 0.500 0.000 [1 per cell]
Cd1 0.500 0.500 0.500 [1 per cell]

- Final energy: -0.2649 hartree per atom
- Density: 10405 kg/m3
- D(E_F): 3.49 states/eV/f.u.
- E_form: -0.030 eV per atom


VASP calculation (PBE-GGA) on a geometry-optimized Hf3Ti2Cd structure.

abc: 3.037 3.037 13.313
angles: 90.00 90.00 90.00
Space group P4/mmm (No. 123)
Unique sites:
Hf1 0.000 0.000 0.000 [1 per cell]
Hf2 0.000 0.000 0.316 [2 per cell]
Ti1 0.500 0.500 0.162 [2 per cell]
Cd1 0.500 0.500 0.500 [1 per cell]

- Final energy: -0.2848 hartree per atom
- Density: 10054 kg/m3
- D(E_F): 6.72 states/eV/f.u.
- E_form: 0.012 eV per atom


VASP calculation (PBE-GGA) on a geometry-optimized Hf2TiCd structure.

abc: 3.1326 3.1326 29.8182
angles: 90.00 90.00 120.00
Space group R-3m (No. 166, hexagonal axes)
Unique sites:
Hf1 0.0000 0.0000 0.2458 [6 per cell]
Ti1 0.0000 0.0000 0.5000 [3 per cell]
Cd1 0.0000 0.0000 0.0000 [3 per cell]

- Final energy: -0.2622 hartree per atom
- Density: 10169 kg/m3
- D(E_F): 4.17 states/eV/f.u.
- E_form: 0.045 eV per atom


VASP calculation (PBE-GGA) on a geometry-optimized Hf2Ti2Cd structure.

abc: 7.284 7.284 3.821
angles: 90.00 90.00 90.00
Space group P4/mbm (No. 127)
Unique sites:
Hf1 0.160 0.340 0.000 [4 per cell]
Ti1 0.132 0.632 0.500 [4 per cell]
Cd1 0.000 0.000 0.500 [2 per cell]

- Final energy: -0.2653 hartree per atom
- Density: 9257 kg/m3
- D(E_F): 12.29 states/eV/f.u.
- Energy above the lowest structure with this stoichiometry: 0.0977 eV/atom
- E_form: 0.104 eV per atom


VASP calculation (PBE-GGA) on a geometry-optimized HfTi3Cd structure.

abc: 7.061 2.991 9.288
angles: 90.00 90.00 90.00
Space group Pmma (No. 51)
Unique sites:
Hf1 0.000 0.000 0.000 [2 per cell]
Ti1 0.071 0.500 0.292 [4 per cell]
Ti2 0.250 0.500 0.807 [2 per cell]
Cd1 0.250 0.000 0.535 [2 per cell]

- Final energy: -0.2456 hartree per atom
- Density: 7358 kg/m3
- D(E_F): 6.11 states/eV/f.u.
- Energy above the lowest structure with this stoichiometry: 0.0000 eV/atom
- E_form: 0.227 eV per atom


VASP calculation (PBE-GGA) on a geometry-optimized Hf2TiCd structure.

abc: 4.131 4.131 20.574
angles: 90.00 90.00 90.00
Space group I-42d (No. 122)
Unique sites:
Hf1 0.245 0.250 0.125 [8 per cell]
Ti1 0.000 0.000 0.000 [4 per cell]
Cd1 0.000 0.000 0.500 [4 per cell]

- Final energy: -0.2446 hartree per atom
- Density: 9786 kg/m3
- D(E_F): 5.29 states/eV/f.u.
- E_form: 0.524 eV per atom


VASP calculation (PBE-GGA) on a geometry-optimized Hf2Ti2Cd3 structure.

abc: 2.993 32.767 2.982
angles: 90.00 90.00 90.00
Space group Cmmm (No. 65)
Unique sites:
Hf1 0.000 0.205 0.000 [4 per cell]
Ti1 0.000 0.357 0.500 [4 per cell]
Cd1 0.000 0.073 0.000 [4 per cell]
Cd2 0.000 0.500 0.500 [2 per cell]

- Final energy: -0.2004 hartree per atom
- Density: 8971 kg/m3
- D(E_F): 3.81 states/eV/f.u.
- E_form: 0.038 eV per atom